Record 1
A relaxed structure of EuTaRu2, computed with PBE.

Fermi-level density of states in states/eV per atom: 1.751
Density in g/cm3: 12.02
Calculated total energy in eV/atom: -10.33
SG: P4/mmm, No. 123
Spin magnetization in μB/cell: 6.9

POSCAR file:
```
EuTaRu2
1.0
-3.048 -0.744 -0.656
0.700 -0.110 -3.126
1.578 -6.994 0.598
Eu Ru Ta
1 2 1
direct
0.500 0.500 0.500
0.000 0.000 0.795
0.000 0.000 0.205
0.500 0.500 0.000
```


Record 2
A relaxed structure of Tb2EuRu, computed with PBE.

Fermi-level density of states in states/eV per atom: 1.054
Density in g/cm3: 9.62
Relative energy among the computed polymorphs in eV/f.u.: 1.19
SG: Fm-3m, No. 225
Spin magnetization in μB/cell: 7.3

POSCAR file:
```
Tb2EuRu
1.0
-1.432 -4.971 0.295
2.046 -3.482 -3.246
3.331 -3.555 1.778
Eu Ru Tb
1 1 2
direct
0.500 0.500 0.500
0.000 0.000 0.000
0.250 0.250 0.250
0.750 0.750 0.750
```


Record 3
A relaxed structure of Tb2EuRu, computed with PBE.

Fermi-level density of states in states/eV per atom: 0.635
Density in g/cm3: 8.33
Relative energy among the computed polymorphs in eV/f.u.: 0.00
SG: P4/mmm, No. 123
Spin magnetization in μB/cell: 7.5

POSCAR file:
```
Tb2EuRu
1.0
-2.913 -1.220 -1.397
0.396 -2.950 1.750
-5.004 3.637 7.262
Eu Ru Tb
1 1 2
direct
0.500 0.500 0.500
0.500 0.500 0.000
0.000 0.000 0.827
0.000 0.000 0.173
```


Record 4
A relaxed structure of EuTh2Ru, computed with PBE.

Fermi-level density of states in states/eV per atom: 1.254
Density in g/cm3: 8.31
Calculated total energy in eV/atom: -8.64
SG: R-3m, No. 166
Spin magnetization in μB/cell: 7.8

POSCAR file:
```
EuTh2Ru
1.0
-0.752 -3.026 -2.444
2.101 -3.346 0.285
-6.564 -5.942 6.164
Eu Ru Th
1 1 2
direct
0.000 0.000 0.000
0.500 0.500 0.500
0.116 0.116 0.652
0.884 0.884 0.348
```